Density functional theory data (GGA-PBE) for a relaxed structure of AcSm2Cd2Sn2.

As for the density of states at the Fermi level: 6.644 states/eV/f.u. For the formation enthalpy at 0 K, the calculation gives -356 meV per atom.

Cell lengths 9.7495, 9.7495, 9.7495 Å; angles 30.21, 30.21, 30.21 degrees
Element x y z (fractional)
Ac  0.0000  0.0000  0.0000
Sm  0.1338  0.1338  0.1338
Sm  0.8662  0.8662  0.8662
Cd  0.4282  0.4282  0.4282
Cd  0.5718  0.5718  0.5718
Sn  0.2622  0.2622  0.2622
Sn  0.7378  0.7378  0.7378

Density functional theory data (GGA-PBE) for a relaxed structure of NbInSe2.

Its formation energy from raw total energies is -215 meV per atom. As for the density of states at the Fermi level: 0.233 states/eV/f.u.

Cell lengths 6.7357, 6.7357, 6.7357 Å; angles 112.11, 112.11, 104.31 degrees
Element x y z (fractional)
Nb  0.0000  0.0000  0.0000
Nb  0.7500  0.2500  0.5000
In  0.2500  0.7500  0.5000
In  0.5000  0.5000  0.0000
Se  0.0554  0.6250  0.9304
Se  0.3750  0.3054  0.4304
Se  0.6946  0.1250  0.0696
Se  0.8750  0.9446  0.5696

What did the first record say?
Density functional theory data (GGA-PBE) for a relaxed structure of AcSm2Cd2Sn2.

As for the density of states at the Fermi level: 6.644 states/eV/f.u. For the formation enthalpy at 0 K, the calculation gives -356 meV per atom.

Cell lengths 9.7495, 9.7495, 9.7495 Å; angles 30.21, 30.21, 30.21 degrees
Element x y z (fractional)
Ac  0.0000  0.0000  0.0000
Sm  0.1338  0.1338  0.1338
Sm  0.8662  0.8662  0.8662
Cd  0.4282  0.4282  0.4282
Cd  0.5718  0.5718  0.5718
Sn  0.2622  0.2622  0.2622
Sn  0.7378  0.7378  0.7378